A PBEsol-optimized structure of Si3CCl8, computed with SCAN.

Values from the calculation:
Fermi-level density of states: 0.00 states/eV per cell
total DFT energy (no corrections): -9.78 eV/atom
E_form (uncorrected): -1.119 eV/atom

Lattice parameters (Å, degrees): 8.8100 9.2841 9.4212 96.27 114.96 102.46
Space group P-1 (No. 2)
Unique sites:
Si 0.0173 0.2086 0.2725 (multiplicity 2)
Si 0.1029 0.9322 0.0948 (multiplicity 2)
Si 0.2978 0.2812 0.1588 (multiplicity 2)
C 0.0873 0.1358 0.1193 (multiplicity 2)
Cl 0.0833 0.8185 0.2610 (multiplicity 2)
Cl 0.0938 0.6222 0.7886 (multiplicity 2)
Cl 0.1578 0.9509 0.6977 (multiplicity 2)
Cl 0.2259 0.2914 0.4949 (multiplicity 2)
Cl 0.2819 0.4962 0.1994 (multiplicity 2)
Cl 0.3338 0.9241 0.0984 (multiplicity 2)
Cl 0.3594 0.2667 0.9737 (multiplicity 2)
Cl 0.4927 0.7363 0.6463 (multiplicity 2)

***

A PBEsol-optimized structure of ScSe3S, computed with SCAN.

Values from the calculation:
Fermi-level density of states: 4.87 states/eV per cell
total DFT energy (no corrections): -16.76 eV/atom
E_form (uncorrected): 0.055 eV/atom

Lattice parameters (Å, degrees): 5.0250 5.0250 5.0250 90.00 90.00 90.00
Space group Pm-3m (No. 221)
Unique sites:
Sc 0.0000 0.0000 0.0000 (multiplicity 1)
Se 0.0000 0.0000 0.5000 (multiplicity 3)
S 0.5000 0.5000 0.5000 (multiplicity 1)

***

A PBEsol-optimized structure of MnCd2Te, computed with SCAN.

Values from the calculation:
Fermi-level density of states: 10.60 states/eV per cell
total DFT energy (no corrections): -28.90 eV/atom
E_form (uncorrected): 0.188 eV/atom

Lattice parameters (Å, degrees): 6.9915 6.9915 6.9915 90.00 90.00 90.00
Space group F-43m (No. 216)
Unique sites:
Mn 0.0000 0.0000 0.0000 (multiplicity 4)
Cd 0.0000 0.0000 0.5000 (multiplicity 4)
Cd 0.2500 0.2500 0.7500 (multiplicity 4)
Te 0.2500 0.2500 0.2500 (multiplicity 4)

***

A PBEsol-optimized structure of LiPtCl2, computed with SCAN.

Values from the calculation:
total DFT energy (no corrections): -22.74 eV/atom
E_form (uncorrected): -0.603 eV/atom

Lattice parameters (Å, degrees): 3.6409 6.3381 6.7356 90.00 90.00 90.00
Space group Immm (No. 71)
Unique sites:
Li 0.0000 0.0000 0.0000 (multiplicity 2)
Pt 0.0000 0.0000 0.5000 (multiplicity 2)
Cl 0.0000 0.5000 0.2356 (multiplicity 4)

***

A PBEsol-optimized structure of BaLa2MgRe, computed with SCAN.

Values from the calculation:
Fermi-level density of states: 6.58 states/eV per cell
total DFT energy (no corrections): -39.33 eV/atom
formation enthalpy at 0 K: 1033.6 meV/atom

Lattice parameters (Å, degrees): 5.7447 5.7447 4.8840 90.00 90.00 90.00
Space group P4/mmm (No. 123)
Unique sites:
Ba 0.0000 0.0000 0.0000 (multiplicity 1)
La 0.0000 0.5000 0.5000 (multiplicity 2)
Mg 0.5000 0.5000 0.5000 (multiplicity 1)
Re 0.5000 0.5000 0.0000 (multiplicity 1)

***

A PBEsol-optimized structure of In3GeH, computed with SCAN.

Values from the calculation:
Fermi-level density of states: 3.89 states/eV per cell
total DFT energy (no corrections): -23.73 eV/atom

Lattice parameters (Å, degrees): 5.2820 5.2820 5.2820 90.00 90.00 90.00
Space group Pm-3m (No. 221)
Unique sites:
In 0.0000 0.0000 0.5000 (multiplicity 3)
Ge 0.0000 0.0000 0.0000 (multiplicity 1)
H 0.5000 0.5000 0.5000 (multiplicity 1)